(1)
First-principles (PBE) data for a geometry-optimized Tb2PrEr6 structure, as listed in the Alexandria database.

Its crystal system is tetragonal. For the relative energy among the computed polymorphs, the calculation gives 2 meV per atom.

The space group is P4_2/mnm (No. 136) and the conventional cell measures 10.615, 10.615 and 5.015 Å, with angles of 90.00, 90.00 and 90.00 degrees. The distinct sites, in fractional coordinates, are Tb at (0.168, 0.168, 0.000), Pr at (0.000, 0.000, 0.500), Er at (0.001, 0.335, 0.500) and Er at (0.168, 0.832, 0.000).


(2)
First-principles (PBE) data for a geometry-optimized Tb4PrEr4 structure, as listed in the Alexandria database.

Its crystal system is triclinic. For the relative energy among the computed polymorphs, the calculation gives 0 meV per atom.

The space group is P-1 (No. 2) and the conventional cell measures 6.198, 8.844 and 10.739 Å, with angles of 78.29, 89.94 and 83.21 degrees. The distinct sites, in fractional coordinates, are Tb at (0.138, 0.165, 0.139), Tb at (0.139, 0.165, 0.473), Tb at (0.141, 0.165, 0.805), Tb at (0.362, 0.834, 0.027), Pr at (0.251, 0.500, 0.250), Er at (0.250, 0.501, 0.916), Er at (0.251, 0.501, 0.583), Er at (0.360, 0.834, 0.693) and Er at (0.363, 0.834, 0.362).


(3)
First-principles (PBE) data for a geometry-optimized Tb3Pr4Er structure, as listed in the Alexandria database.

Its crystal system is monoclinic. For the relative energy among the computed polymorphs, the calculation gives 130 meV per atom.

The space group is C2/m (No. 12) and the conventional cell measures 23.709, 3.516 and 6.885 Å, with angles of 90.00, 106.69 and 90.00 degrees. The distinct sites, in fractional coordinates, are Tb at (0.000, 0.000, 0.000), Tb at (0.122, 0.000, 0.381), Pr at (0.123, 0.000, 0.867), Pr at (0.241, 0.500, 0.734) and Er at (0.000, 0.500, 0.500).


(4)
First-principles (PBE) data for a geometry-optimized Tb16Pr6Er7 structure, as listed in the Alexandria database.

As for the uncorrected energy: -128.1 eV per formula unit. Its crystal system is cubic.

The space group is Fm-3m (No. 225) and the conventional cell measures 15.839, 15.839 and 15.839 Å, with angles of 90.00, 90.00 and 90.00 degrees. The distinct sites, in fractional coordinates, are Tb at (0.126, 0.126, 0.126), Tb at (0.152, 0.152, 0.348), Pr at (0.000, 0.000, 0.274), Er at (0.000, 0.000, 0.000) and Er at (0.000, 0.250, 0.250).